A plane-wave DFT calculation with PBE+U was carried out for an optimized crystal structure of KAcCoO3.

```
data_KAcCoO3
_cell_length_a 3.942
_cell_length_b 7.311
_cell_length_c 7.667
_cell_angle_alpha 105.14
_cell_angle_beta 90.00
_cell_angle_gamma 105.64
_symmetry_space_group_name_H-M 'P 1'
_symmetry_Int_Tables_number 1
_symmetry_space_group_name_Hall 'P 1'
loop_
_atom_site_label
_atom_site_fract_x
_atom_site_fract_y
_atom_site_fract_z
_atom_site_occupancy
K1 0.356 0.712 0.933 1
K2 0.644 0.288 0.067 1
Co1 0.006 0.013 0.274 1
O1 0.856 0.713 0.211 1
Ac1 0.653 0.305 0.588 1
O2 0.491 0.982 0.707 1
O3 0.144 0.287 0.789 1
Co2 0.994 0.987 0.726 1
O4 0.163 0.325 0.366 1
O5 0.837 0.675 0.634 1
Ac2 0.347 0.695 0.412 1
O6 0.509 0.018 0.293 1
```

Output
Space-group type: C2/m
Total energy (eV per atom): -6.20